Entry 1:
A relaxed Tb4NdEr7 crystal, computed with PBE-GGA.

a b c (Å): 6.509 6.799 8.962
angles (deg): 84.72 76.74 81.10
Sites, in units of the cell vectors:
Tb (0.140, 0.301, 0.290)
Tb (0.333, 0.888, 0.686)
Tb (0.667, 0.112, 0.314)
Tb (0.860, 0.699, 0.710)
Nd (0.500, 0.500, 0.000)
Er (0.017, 0.249, 0.951)
Er (0.183, 0.794, 0.356)
Er (0.310, 0.396, 0.614)
Er (0.500, 0.000, 0.000)
Er (0.690, 0.604, 0.386)
Er (0.817, 0.206, 0.644)
Er (0.983, 0.751, 0.049)

Computed properties:
E_form: 99.8 kJ/mol of formula units
Space group: P-1
Size of the total moment: 0.000 μB per cell

Entry 2:
A relaxed Ca2YPbS4 crystal, computed with PBE-GGA.

a b c (Å): 7.018 4.032 7.099
angles (deg): 90.00 109.33 90.00
Sites, in units of the cell vectors:
Ca (0.000, 0.000, 0.000)
Ca (0.000, 0.500, 0.500)
Y (0.500, 0.000, 0.500)
Pb (0.500, 0.500, 0.000)
S (0.244, 0.000, 0.735)
S (0.250, 0.500, 0.260)
S (0.750, 0.500, 0.740)
S (0.756, 0.000, 0.265)

Computed properties:
Space group: P2/m
Raw total energy: -5.4747 eV per atom
Size of the total moment: 0.000 μB per cell

Entry 3:
A relaxed Ti3TcSn3 crystal, computed with PBE-GGA.

a b c (Å): 8.894 8.894 4.157
angles (deg): 90.00 90.00 120.00
Sites, in units of the cell vectors:
Ti (0.113, 0.557, 0.250)
Ti (0.443, 0.557, 0.250)
Ti (0.443, 0.887, 0.250)
Ti (0.557, 0.113, 0.750)
Ti (0.557, 0.443, 0.750)
Ti (0.887, 0.443, 0.750)
Tc (0.333, 0.667, 0.750)
Tc (0.667, 0.333, 0.250)
Sn (0.156, 0.312, 0.750)
Sn (0.156, 0.844, 0.750)
Sn (0.312, 0.156, 0.250)
Sn (0.688, 0.844, 0.750)
Sn (0.844, 0.156, 0.250)
Sn (0.844, 0.688, 0.250)

Computed properties:
E_form: -51.4 kJ/mol of formula units
Space group: P6_3/mmc
Size of the total moment: 2.199 μB per cell

Entry 4:
A relaxed CeHoThHg crystal, computed with PBE-GGA.

a b c (Å): 5.417 5.417 5.417
angles (deg): 60.00 60.00 60.00
Sites, in units of the cell vectors:
Ce (0.000, 0.000, 0.000)
Ho (0.500, 0.500, 0.500)
Th (0.250, 0.250, 0.250)
Hg (0.750, 0.750, 0.750)

Computed properties:
E_form: 18.0 kJ/mol of formula units
Space group: F-43m
Size of the total moment: 0.005 μB per cell

Entry 5:
A relaxed Ba2AlPt2 crystal, computed with PBE-GGA.

a b c (Å): 10.355 10.355 10.355
angles (deg): 24.55 24.55 24.55
Sites, in units of the cell vectors:
Ba (0.077, 0.077, 0.077)
Ba (0.923, 0.923, 0.923)
Al (0.500, 0.500, 0.500)
Pt (0.188, 0.188, 0.188)
Pt (0.812, 0.812, 0.812)

Computed properties:
E_form: -371.9 kJ/mol of formula units
Space group: R-3m
Size of the total moment: 0.000 μB per cell

Entry 6:
A relaxed CoHSe2Br crystal, computed with PBE-GGA.

a b c (Å): 3.852 3.852 7.181
angles (deg): 90.00 90.00 90.00
Sites, in units of the cell vectors:
Co (0.000, 0.000, 0.000)
H (0.500, 0.500, 0.500)
Se (0.000, 0.500, 0.500)
Se (0.500, 0.000, 0.500)
Br (0.500, 0.500, 0.000)

Computed properties:
Space group: P4/mmm
Raw total energy: -3.2061 eV per atom
Size of the total moment: 2.229 μB per cell

Entry 7:
A relaxed HfCBr2N crystal, computed with PBE-GGA.

a b c (Å): 4.535 4.535 4.480
angles (deg): 90.00 90.00 90.00
Sites, in units of the cell vectors:
Hf (0.000, 0.000, 0.000)
C (0.000, 0.000, 0.500)
Br (0.000, 0.500, 0.500)
Br (0.500, 0.000, 0.500)
N (0.500, 0.500, 0.000)

Computed properties:
Space group: P4/mmm
Raw total energy: -4.6442 eV per atom
Size of the total moment: 1.293 μB per cell

Entry 8:
A relaxed CaY2AuC crystal, computed with PBE-GGA.

a b c (Å): 4.838 4.838 5.042
angles (deg): 90.00 90.00 90.00
Sites, in units of the cell vectors:
Ca (0.000, 0.000, 0.000)
Y (0.000, 0.500, 0.500)
Y (0.500, 0.000, 0.500)
Au (0.500, 0.500, 0.000)
C (0.000, 0.000, 0.500)

Computed properties:
E_form: -156.7 kJ/mol of formula units
Space group: P4/mmm
Size of the total moment: 0.000 μB per cell

Entry 9:
A relaxed CaZr2Sb2 crystal, computed with PBE-GGA.

a b c (Å): 7.522 7.522 7.522
angles (deg): 145.75 145.75 49.21
Sites, in units of the cell vectors:
Ca (0.000, 0.000, 0.000)
Zr (0.250, 0.750, 0.500)
Zr (0.750, 0.250, 0.500)
Sb (0.391, 0.391, 0.000)
Sb (0.609, 0.609, 0.000)

Computed properties:
Space group: I4/mmm
Raw total energy: -6.0692 eV per atom
Size of the total moment: 0.000 μB per cell

Entry 10:
A relaxed AcDyTe3Pd crystal, computed with PBE-GGA.

a b c (Å): 8.552 4.392 10.126
angles (deg): 90.00 102.23 90.00
Sites, in units of the cell vectors:
Ac (0.186, 0.250, 0.282)
Ac (0.814, 0.750, 0.718)
Dy (0.320, 0.750, 0.826)
Dy (0.680, 0.250, 0.174)
Te (0.088, 0.250, 0.871)
Te (0.259, 0.750, 0.528)
Te (0.418, 0.750, 0.149)
Te (0.582, 0.250, 0.851)
Te (0.741, 0.250, 0.472)
Te (0.912, 0.750, 0.129)
Pd (0.082, 0.250, 0.598)
Pd (0.918, 0.750, 0.402)

Computed properties:
Space group: P2_1/m
Raw total energy: -5.1944 eV per atom
Size of the total moment: 0.000 μB per cell

Entry 11:
A relaxed TaBeSbRu2 crystal, computed with PBE-GGA.

a b c (Å): 4.805 4.805 4.205
angles (deg): 90.00 90.00 90.00
Sites, in units of the cell vectors:
Ta (0.000, 0.000, 0.000)
Be (0.500, 0.500, 0.000)
Sb (0.500, 0.500, 0.500)
Ru (0.000, 0.500, 0.500)
Ru (0.500, 0.000, 0.500)

Computed properties:
Space group: P4/mmm
Raw total energy: -6.0642 eV per atom
Size of the total moment: 1.352 μB per cell

Entry 12:
A relaxed FePAu2 crystal, computed with PBE-GGA.

a b c (Å): 5.614 5.614 2.858
angles (deg): 104.30 104.30 122.02
Sites, in units of the cell vectors:
Fe (0.000, 0.000, 0.000)
P (0.500, 0.500, 0.000)
Au (0.000, 0.500, 0.500)
Au (0.500, 0.000, 0.500)

Computed properties:
E_form: 139.8 kJ/mol of formula units
Space group: C2/m
Size of the total moment: 3.016 μB per cell

Entry 13:
A relaxed HfMn2Co2 crystal, computed with PBE-GGA.

a b c (Å): 6.867 6.867 2.924
angles (deg): 90.00 90.00 90.00
Sites, in units of the cell vectors:
Hf (0.000, 0.000, 0.000)
Hf (0.500, 0.500, 0.000)
Mn (0.151, 0.349, 0.500)
Mn (0.349, 0.849, 0.500)
Mn (0.651, 0.151, 0.500)
Mn (0.849, 0.651, 0.500)
Co (0.142, 0.642, 0.000)
Co (0.358, 0.142, 0.000)
Co (0.642, 0.858, 0.000)
Co (0.858, 0.358, 0.000)

Computed properties:
E_form: 17.3 kJ/mol of formula units
Space group: P4/mbm
Size of the total moment: 16.255 μB per cell

Entry 14:
A relaxed Sm4Y4Th3 crystal, computed with PBE-GGA.

a b c (Å): 3.582 5.781 17.834
angles (deg): 80.67 89.96 89.99
Sites, in units of the cell vectors:
Sm (0.000, 0.219, 0.061)
Sm (0.000, 0.781, 0.939)
Sm (0.001, 0.598, 0.305)
Sm (0.999, 0.402, 0.695)
Y (0.000, 0.046, 0.408)
Y (0.000, 0.954, 0.592)
Y (0.500, 0.311, 0.878)
Y (0.500, 0.689, 0.122)
Th (0.499, 0.868, 0.764)
Th (0.500, 0.500, 0.500)
Th (0.501, 0.132, 0.236)

Computed properties:
E_form: 74.1 kJ/mol of formula units
Space group: P-1
Size of the total moment: 0.000 μB per cell

Entry 15:
A relaxed BeIn2C crystal, computed with PBE-GGA.

a b c (Å): 4.535 4.535 4.535
angles (deg): 60.00 60.00 60.00
Sites, in units of the cell vectors:
Be (0.000, 0.000, 0.000)
In (0.250, 0.250, 0.250)
In (0.750, 0.750, 0.750)
C (0.500, 0.500, 0.500)

Computed properties:
E_form: 568.7 kJ/mol of formula units
Space group: Fm-3m
Size of the total moment: 0.000 μB per cell

Entry 16:
A relaxed CeSmGaOs crystal, computed with PBE-GGA.

a b c (Å): 3.849 6.238 6.238
angles (deg): 38.87 90.00 90.00
Sites, in units of the cell vectors:
Ce (0.000, 0.000, 0.000)
Sm (0.500, 0.279, 0.279)
Ga (0.000, 0.694, 0.694)
Os (0.500, 0.540, 0.540)

Computed properties:
E_form: -150.7 kJ/mol of formula units
Space group: Amm2
Size of the total moment: 0.000 μB per cell

Entry 17:
A relaxed TiCd2Au crystal, computed with PBE-GGA.

a b c (Å): 10.905 10.905 10.905
angles (deg): 15.53 15.53 15.53
Sites, in units of the cell vectors:
Ti (0.000, 0.000, 0.000)
Cd (0.089, 0.089, 0.089)
Cd (0.911, 0.911, 0.911)
Au (0.500, 0.500, 0.500)

Computed properties:
E_form: 90.2 kJ/mol of formula units
Space group: R-3m
Size of the total moment: 0.001 μB per cell

Entry 18:
A relaxed La4TbPa3N8 crystal, computed with PBE-GGA.

a b c (Å): 7.285 7.285 7.285
angles (deg): 58.93 58.93 58.93
Sites, in units of the cell vectors:
La (0.000, 0.000, 0.000)
La (0.000, 0.500, 0.500)
La (0.500, 0.000, 0.500)
La (0.500, 0.500, 0.000)
Tb (0.500, 0.500, 0.500)
Pa (0.000, 0.000, 0.500)
Pa (0.000, 0.500, 0.000)
Pa (0.500, 0.000, 0.000)
N (0.221, 0.742, 0.742)
N (0.234, 0.234, 0.234)
N (0.258, 0.258, 0.779)
N (0.258, 0.779, 0.258)
N (0.742, 0.221, 0.742)
N (0.742, 0.742, 0.221)
N (0.766, 0.766, 0.766)
N (0.779, 0.258, 0.258)

Computed properties:
Space group: R-3m
Raw total energy: -9.0365 eV per atom
Size of the total moment: 0.000 μB per cell

Entry 19:
A relaxed TiCrSCl2 crystal, computed with PBE-GGA.

a b c (Å): 4.665 4.665 4.859
angles (deg): 90.00 90.00 90.00
Sites, in units of the cell vectors:
Ti (0.000, 0.000, 0.000)
Cr (0.500, 0.500, 0.500)
S (0.500, 0.500, 0.000)
Cl (0.000, 0.500, 0.500)
Cl (0.500, 0.000, 0.500)

Computed properties:
Space group: P4/mmm
Raw total energy: -5.1764 eV per atom
Size of the total moment: 3.932 μB per cell

Entry 20:
A relaxed Ce2BiAu2 crystal, computed with PBE-GGA.

a b c (Å): 8.044 8.044 4.101
angles (deg): 90.00 90.00 90.00
Sites, in units of the cell vectors:
Ce (0.173, 0.327, 0.000)
Ce (0.327, 0.827, 0.000)
Ce (0.673, 0.173, 0.000)
Ce (0.827, 0.673, 0.000)
Bi (0.000, 0.000, 0.500)
Bi (0.500, 0.500, 0.500)
Au (0.125, 0.625, 0.500)
Au (0.375, 0.125, 0.500)
Au (0.625, 0.875, 0.500)
Au (0.875, 0.375, 0.500)

Computed properties:
E_form: -328.9 kJ/mol of formula units
Space group: P4/mbm
Size of the total moment: 3.736 μB per cell

DOS(E_F) across the listed records, respectively: 20.10 3.07 8.04 8.65 2.97 5.77 2.43 4.16 2.54 0.54 5.49 2.96 5.08 19.16 2.23 4.06 3.28 9.06 11.55 13.82 states/eV/f.u..